Compound: YRu2Br
Source: the Alexandria database
Functional: GGA-PBE
Structure: optimized geometry

The value obtained for the energy relative to the elements, uncorrected is 0.56 eV/atom. The spin magnetization is 0.00 μB per formula unit.

Cell lengths 6.6183, 6.6183, 6.6183 Å; angles 90.00, 90.00, 90.00 degrees
With the nearest neighbours (Å) after each atom.
Space group Fm-3m (No. 225)
One atom of each set of equivalent atoms:
Y1 0.0000 0.0000 0.0000  8 Ru 2.87
Ru1 0.2500 0.2500 0.2500  4 Br 2.87, 4 Y 2.87
Br1 0.0000 0.0000 0.5000  8 Ru 2.87



Compound: YRuBr2
Source: the Alexandria database
Functional: GGA-PBE
Structure: optimized geometry

The value obtained for the energy relative to the elements, uncorrected is -0.49 eV/atom. The spin magnetization is 0.00 μB per formula unit.

Cell lengths 3.4350, 4.2147, 14.0947 Å; angles 90.00, 90.00, 90.00 degrees
With the nearest neighbours (Å) after each atom.
Space group Imm2 (No. 44)
One atom of each set of equivalent atoms:
Y1 0.0000 0.0000 0.0000  2 Ru 2.69, 2 Br 2.98
Ru1 0.0000 0.5000 0.3530  2 Y 2.69, 4 Br 2.72
Br1 0.0000 0.0000 0.6052  4 Y 3.10, 2 Br 3.44
Br2 0.0000 0.5000 0.8509  4 Ru 2.72, 2 Y 2.98



Compound: YRu2Br
Source: the Alexandria database
Functional: GGA-PBE
Structure: optimized geometry

The value obtained for the energy relative to the elements, uncorrected is 0.64 eV/atom. The spin magnetization is 0.03 μB per formula unit.

Cell lengths 3.4246, 5.2844, 8.4602 Å; angles 90.00, 90.00, 90.00 degrees
With the nearest neighbours (Å) after each atom.
Space group Cmmm (No. 65)
One atom of each set of equivalent atoms:
Y1 0.0000 0.0000 0.0000  4 Ru 2.75
Ru1 0.0000 0.5000 0.2550  2 Br 2.69, 2 Y 2.75
Br1 0.0000 0.0000 0.5000  4 Ru 2.69



Compound: YRuBr2
Source: the Alexandria database
Functional: GGA-PBE
Structure: optimized geometry

The value obtained for the energy relative to the elements, uncorrected is -0.62 eV/atom. The spin magnetization is 0.00 μB per formula unit.

Cell lengths 4.0539, 3.8220, 7.4859 Å; angles 90.00, 99.86, 90.00 degrees
With the nearest neighbours (Å) after each atom.
Space group Pm (No. 6)
One atom of each set of equivalent atoms:
Y1 0.0000 0.0000 0.0000  4 Ru 2.85-2.86, 4 Br 3.00-3.15
Ru1 0.5297 0.5000 0.0853  3 Br 2.55, 2 Y 2.85
Br1 0.2671 0.5000 0.7510  1 Ru 2.55
Br2 0.6248 0.0000 0.3149  2 Ru 2.55



Compound: YRu2Br
Source: the Alexandria database
Functional: GGA-PBE
Structure: optimized geometry

The value obtained for the energy relative to the elements, uncorrected is 0.21 eV/atom. The spin magnetization is 0.00 μB per formula unit.

Cell lengths 3.3304, 4.8497, 4.7826 Å; angles 90.00, 91.04, 90.00 degrees
With the nearest neighbours (Å) after each atom.
Space group P2/m (No. 10)
One atom of each set of equivalent atoms:
Y1 0.0000 0.0000 0.0000  4 Br 2.89-2.94, 4 Ru 2.98
Ru1 0.3817 0.5000 0.7574  2 Ru 2.44-2.60
Br1 0.5000 0.0000 0.5000  4 Ru 2.75, 4 Y 2.89-2.94



Compound: YRu2Br
Source: the Alexandria database
Functional: GGA-PBE
Structure: optimized geometry

The value obtained for the energy relative to the elements, uncorrected is 0.25 eV/atom. The spin magnetization is 0.00 μB per formula unit.

Cell lengths 3.1704, 4.7004, 4.8217 Å; angles 90.00, 90.00, 90.00 degrees
With the nearest neighbours (Å) after each atom.
Space group Pmmm (No. 47)
One atom of each set of equivalent atoms:
Y1 0.0000 0.0000 0.0000  4 Ru 2.83, 4 Br 2.89, 2 Y 3.17
Ru1 0.0000 0.5000 0.5000  4 Br 2.83, 6 Ru 2.89-3.17
Ru2 0.5000 0.5000 0.0000  4 Y 2.83, 6 Ru 2.89-3.17
Br1 0.5000 0.0000 0.5000  4 Ru 2.83, 4 Y 2.89, 2 Br 3.17